[1]
## ThFeSiN (PBE)

Data for an optimized crystal structure of ThFeSiN.

It has space group P4/nmm (No. 129, origin choice 2), with a = 3.843 Å, b = 3.843 Å, c = 8.054 Å, α = 90.00°, β = 90.00° and γ = 90.00°. The distinct sites, in fractional coordinates, are Th at (0.250, 0.250, 0.173), Fe at (0.250, 0.750, 0.500), Si at (0.250, 0.250, 0.647) and N at (0.250, 0.250, 0.875).

For the uncorrected energy, the calculation gives -8.45 eV per atom. The total moment comes out at 1.67 Bohr magnetons per cell. The value obtained for the raw formation energy is -1.0414 eV per atom.


[2]
## TbTaNbIr2 (PBE)

Data for an optimized crystal structure of TbTaNbIr2.

It has space group I-4m2 (No. 119), with a = 4.442 Å, b = 4.442 Å, c = 10.514 Å, α = 90.00°, β = 90.00° and γ = 90.00°. The distinct sites, in fractional coordinates, are Tb at (0.000, 0.000, 0.000), Ta at (0.000, 0.500, 0.750), Nb at (0.000, 0.500, 0.250) and Ir at (0.000, 0.000, 0.376).

For the uncorrected energy, the calculation gives -9.44 eV per atom. The total moment comes out at 0.00 Bohr magnetons per cell.


[3]
## MnTeSe2 (PBE)

Data for an optimized crystal structure of MnTeSe2.

It has space group R-3m (No. 166, hexagonal axes), with a = 3.2513 Å, b = 3.2513 Å, c = 29.2821 Å, α = 90.00°, β = 90.00° and γ = 120.00°. The distinct sites, in fractional coordinates, are Mn at (0.0000, 0.0000, 0.0000), Te at (0.0000, 0.0000, 0.5000) and Se at (0.0000, 0.0000, 0.2819).

For the uncorrected energy, the calculation gives -4.88 eV per atom. The total moment comes out at 0.00 Bohr magnetons per cell. The value obtained for the raw formation energy is -0.0629 eV per atom.


[4]
## TaIr2Cl (PBE)

Data for an optimized crystal structure of TaIr2Cl.

It has space group Fm-3m (No. 225), with a = 6.409 Å, b = 6.409 Å, c = 6.409 Å, α = 90.00°, β = 90.00° and γ = 90.00°. The distinct sites, in fractional coordinates, are Ta at (0.000, 0.000, 0.000), Ir at (0.250, 0.250, 0.250) and Cl at (0.000, 0.000, 0.500).

For the uncorrected energy, the calculation gives -7.33 eV per atom. The value obtained for the distance to the lowest polymorph of the same formula is 543 meV/atom. The total moment comes out at 0.00 Bohr magnetons per cell. The value obtained for the raw formation energy is 0.5300 eV per atom.


[5]
## Nd6MgHg3 (PBE)

Data for an optimized crystal structure of Nd6MgHg3.

It has space group P2_1/m (No. 11), with a = 9.477 Å, b = 5.455 Å, c = 12.008 Å, α = 90.00°, β = 107.86° and γ = 90.00°. The distinct sites, in fractional coordinates, are Nd at (0.029, 0.250, 0.406), Nd at (0.154, 0.750, 0.185), Nd at (0.239, 0.250, 0.001), Nd at (0.346, 0.750, 0.805), Nd at (0.370, 0.250, 0.344), Nd at (0.405, 0.250, 0.621), Mg at (0.456, 0.750, 0.092), Hg at (0.041, 0.750, 0.883), Hg at (0.131, 0.250, 0.720) and Hg at (0.272, 0.750, 0.476).

For the uncorrected energy, the calculation gives -3.38 eV per atom. The total moment comes out at 0.00 Bohr magnetons per cell.


[6]
## ReBr2Cl (PBE)

Data for an optimized crystal structure of ReBr2Cl.

It has space group Amm2 (No. 38), with a = 3.607 Å, b = 5.126 Å, c = 13.126 Å, α = 90.00°, β = 90.00° and γ = 90.00°. The distinct sites, in fractional coordinates, are Re at (0.000, 0.000, 0.000), Br at (0.000, 0.000, 0.477), Br at (0.500, 0.000, 0.136) and Cl at (0.500, 0.000, 0.874).

For the uncorrected energy, the calculation gives -4.45 eV per atom. The value obtained for the distance to the lowest polymorph of the same formula is 25 meV/atom. The total moment comes out at 4.67 Bohr magnetons per cell. The value obtained for the raw formation energy is -0.0388 eV per atom.


[7]
## CaEr2InHg4 (PBE)

Data for an optimized crystal structure of CaEr2InHg4.

It has space group R-3m (No. 166, hexagonal axes), with a = 5.1702 Å, b = 5.1702 Å, c = 25.8062 Å, α = 90.00°, β = 90.00° and γ = 120.00°. The distinct sites, in fractional coordinates, are Ca at (0.0000, 0.0000, 0.0000), Er at (0.0000, 0.0000, 0.2443), In at (0.0000, 0.0000, 0.5000), Hg at (0.0000, 0.0000, 0.1216) and Hg at (0.0000, 0.0000, 0.3703).

For the uncorrected energy, the calculation gives -2.31 eV per atom. The total moment comes out at 0.00 Bohr magnetons per cell.


[8]
## CaGdCd (PBE)

Data for an optimized crystal structure of CaGdCd.

It has space group I4mm (No. 107), with a = 3.727 Å, b = 3.727 Å, c = 13.414 Å, α = 90.00°, β = 90.00° and γ = 90.00°. The distinct sites, in fractional coordinates, are Ca at (0.000, 0.000, 0.000), Gd at (0.000, 0.000, 0.290) and Cd at (0.000, 0.000, 0.650).

For the uncorrected energy, the calculation gives -5.85 eV per atom. The value obtained for the distance to the lowest polymorph of the same formula is 0 meV/atom. The total moment comes out at 15.48 Bohr magnetons per cell.


[9]
## MgCrBr2 (PBE)

Data for an optimized crystal structure of MgCrBr2.

It has space group P2/m (No. 10), with a = 3.736 Å, b = 3.569 Å, c = 9.425 Å, α = 90.00°, β = 90.78° and γ = 90.00°. The distinct sites, in fractional coordinates, are Mg at (0.000, 0.000, 0.000), Cr at (0.000, 0.000, 0.500) and Br at (0.205, 0.500, 0.675).

For the uncorrected energy, the calculation gives -3.84 eV per atom. The value obtained for the distance to the lowest polymorph of the same formula is 220 meV/atom. The total moment comes out at 4.22 Bohr magnetons per cell. The value obtained for the raw formation energy is -0.2014 eV per atom.


[10]
## CoTc2W (PBE)

Data for an optimized crystal structure of CoTc2W.

It has space group R-3m (No. 166, hexagonal axes), with a = 2.7198 Å, b = 2.7198 Å, c = 26.6237 Å, α = 90.00°, β = 90.00° and γ = 120.00°. The distinct sites, in fractional coordinates, are Co at (0.0000, 0.0000, 0.0000), Tc at (0.0000, 0.0000, 0.2558) and W at (0.0000, 0.0000, 0.5000).

For the uncorrected energy, the calculation gives -9.96 eV per atom. The value obtained for the distance to the lowest polymorph of the same formula is 206 meV/atom. The total moment comes out at 2.50 Bohr magnetons per cell.


[11]
## ReSn2Rh (PBE)

Data for an optimized crystal structure of ReSn2Rh.

It has space group Fm-3m (No. 225), with a = 6.539 Å, b = 6.539 Å, c = 6.539 Å, α = 90.00°, β = 90.00° and γ = 90.00°. The distinct sites, in fractional coordinates, are Re at (0.000, 0.000, 0.000), Sn at (0.250, 0.250, 0.250) and Rh at (0.000, 0.000, 0.500).

For the uncorrected energy, the calculation gives -6.82 eV per atom. The value obtained for the distance to the lowest polymorph of the same formula is 0 meV/atom. The total moment comes out at 0.00 Bohr magnetons per cell.


[12]
## Nd2Ho4TmMg (PBE)

Data for an optimized crystal structure of Nd2Ho4TmMg.

It has space group P4/mmm (No. 123), with a = 4.969 Å, b = 4.969 Å, c = 10.078 Å, α = 90.00°, β = 90.00° and γ = 90.00°. The distinct sites, in fractional coordinates, are Nd at (0.000, 0.000, 0.000), Nd at (0.500, 0.500, 0.500), Ho at (0.000, 0.500, 0.250), Tm at (0.000, 0.000, 0.500) and Mg at (0.500, 0.500, 0.000).

For the uncorrected energy, the calculation gives -4.21 eV per atom. The total moment comes out at 0.01 Bohr magnetons per cell.


[13]
## BaMnCr2 (PBE)

Data for an optimized crystal structure of BaMnCr2.

It has space group F-43m (No. 216), with a = 7.170 Å, b = 7.170 Å, c = 7.170 Å, α = 90.00°, β = 90.00° and γ = 90.00°. The distinct sites, in fractional coordinates, are Ba at (0.000, 0.000, 0.000), Mn at (0.250, 0.250, 0.250), Cr at (0.000, 0.000, 0.500) and Cr at (0.250, 0.250, 0.750).

For the uncorrected energy, the calculation gives -6.60 eV per atom. The value obtained for the distance to the lowest polymorph of the same formula is 374 meV/atom. The total moment comes out at 15.47 Bohr magnetons per cell.


[14]
## Zr2AlRe2 (PBE)

Data for an optimized crystal structure of Zr2AlRe2.

It has space group I4/mmm (No. 139), with a = 3.480 Å, b = 3.480 Å, c = 17.003 Å, α = 90.00°, β = 90.00° and γ = 90.00°. The distinct sites, in fractional coordinates, are Zr at (0.000, 0.000, 0.106), Al at (0.000, 0.000, 0.500) and Re at (0.000, 0.500, 0.250).

For the uncorrected energy, the calculation gives -8.90 eV per atom. The value obtained for the distance to the lowest polymorph of the same formula is 305 meV/atom. The total moment comes out at 0.00 Bohr magnetons per cell.


[15]
## Nd2BeSiPt6 (PBE)

Data for an optimized crystal structure of Nd2BeSiPt6.

It has space group R-3m (No. 166, hexagonal axes), with a = 5.8264 Å, b = 5.8264 Å, c = 18.7690 Å, α = 90.00°, β = 90.00° and γ = 120.00°. The distinct sites, in fractional coordinates, are Nd at (0.0000, 0.0000, 0.2156), Be at (0.0000, 0.0000, 0.0000), Si at (0.0000, 0.0000, 0.5000) and Pt at (0.0160, 0.5080, 0.2654).

For the uncorrected energy, the calculation gives -6.39 eV per atom. The total moment comes out at 0.00 Bohr magnetons per cell. The value obtained for the raw formation energy is -0.8949 eV per atom.


[16]
## Dy3S5 (PBE)

Data for an optimized crystal structure of Dy3S5.

It has space group P6_3/mcm (No. 193), with a = 8.3354 Å, b = 8.3354 Å, c = 5.5179 Å, α = 90.00°, β = 90.00° and γ = 120.00°. The distinct sites, in fractional coordinates, are Dy at (0.0000, 0.3637, 0.2500), S at (0.0000, 0.2805, 0.7500) and S at (0.3333, 0.6667, 0.0000).

For the uncorrected energy, the calculation gives -6.15 eV per atom. The total moment comes out at 0.00 Bohr magnetons per cell. The value obtained for the raw formation energy is -1.8490 eV per atom.


[17]
## NdY2Sn2 (PBE)

Data for an optimized crystal structure of NdY2Sn2.

It has space group C2/m (No. 12), with a = 12.762 Å, b = 4.065 Å, c = 6.125 Å, α = 90.00°, β = 101.81° and γ = 90.00°. The distinct sites, in fractional coordinates, are Nd at (0.000, 0.000, 0.000), Y at (0.137, 0.500, 0.580) and Sn at (0.204, 0.500, 0.130).

For the uncorrected energy, the calculation gives -5.61 eV per atom. The total moment comes out at 0.00 Bohr magnetons per cell.


[18]
## CsLi2GePt (PBE)

Data for an optimized crystal structure of CsLi2GePt.

It has space group P4/mmm (No. 123), with a = 5.282 Å, b = 5.282 Å, c = 4.722 Å, α = 90.00°, β = 90.00° and γ = 90.00°. The distinct sites, in fractional coordinates, are Cs at (0.000, 0.000, 0.000), Li at (0.000, 0.500, 0.500), Ge at (0.500, 0.500, 0.000) and Pt at (0.500, 0.500, 0.500).

For the uncorrected energy, the calculation gives -3.37 eV per atom. The total moment comes out at 0.00 Bohr magnetons per cell.


[19]
## CeNdSn (PBE)

Data for an optimized crystal structure of CeNdSn.

It has space group P4/nmm (No. 129, origin choice 2), with a = 4.487 Å, b = 4.487 Å, c = 9.000 Å, α = 90.00°, β = 90.00° and γ = 90.00°. The distinct sites, in fractional coordinates, are Ce at (0.250, 0.750, 0.000), Nd at (0.250, 0.250, 0.361) and Sn at (0.250, 0.250, 0.729).

For the uncorrected energy, the calculation gives -5.46 eV per atom. The value obtained for the distance to the lowest polymorph of the same formula is 0 meV/atom. The total moment comes out at 1.73 Bohr magnetons per cell.


[20]
## ThMgPd (PBE)

Data for an optimized crystal structure of ThMgPd.

It has space group F-43m (No. 216), with a = 6.799 Å, b = 6.799 Å, c = 6.799 Å, α = 90.00°, β = 90.00° and γ = 90.00°. The distinct sites, in fractional coordinates, are Th at (0.000, 0.000, 0.000), Mg at (0.000, 0.000, 0.500) and Pd at (0.250, 0.250, 0.250).

For the uncorrected energy, the calculation gives -5.12 eV per atom. The total moment comes out at 0.00 Bohr magnetons per cell.